Density functional theory data (GGA-PBE) for an optimized crystal structure of Be3Ag2Au9.

Lattice parameters (Å, degrees): 7.4286 7.4286 10.5610 89.42 110.53 121.05
Closest atoms and distances in Å follow each position.
Fractional coordinates of all 28 atoms:
Au 0.5610 0.0815 0.2507  2 Be 2.44-2.55
Au 0.8644 0.0111 0.0691  3 Be 2.50-2.57
Au 0.4390 0.9185 0.7493  2 Be 2.44-2.55
Au 0.1356 0.9889 0.9309  3 Be 2.50-2.57
Au 0.4420 0.7953 0.4309  3 Be 2.50-2.57
Au 0.4302 0.6241 0.9247  3 Be 2.47-2.65
Au 0.1167 0.1397 0.4304  3 Be 2.55-2.56, 4 Au 2.74-2.85
Au 0.0645 0.8145 0.2500  2 Be 2.54
Au 0.3308 0.3104 0.2493  2 Be 2.44-2.55
Au 0.7906 0.3137 0.9304  3 Be 2.55-2.56, 4 Au 2.74-2.85
Au 0.8833 0.8603 0.5696  3 Be 2.55-2.56, 4 Au 2.74-2.85
Au 0.1994 0.5056 0.5753  3 Be 2.47-2.65
Au 0.5580 0.2047 0.5691  3 Be 2.50-2.57
Au 0.2094 0.6863 0.0696  3 Be 2.55-2.56, 4 Au 2.74-2.85
Au 0.9355 0.1855 0.7500  2 Be 2.54
Au 0.5698 0.3759 0.0753  3 Be 2.47-2.65
Au 0.6692 0.6896 0.7507  2 Be 2.44-2.55
Au 0.8006 0.4944 0.4247  3 Be 2.47-2.65
Ag 0.3506 0.2500 0.7502  11 Au 2.86-3.14
Ag 0.6494 0.7500 0.2498  11 Au 2.86-3.14
Ag 0.9998 0.6004 0.7498  11 Au 2.86-3.14
Ag 0.0002 0.3996 0.2502  11 Au 2.86-3.14
Be 0.8320 0.6688 0.9912  8 Au 2.44-2.65
Be 0.1680 0.3312 0.0088  8 Au 2.44-2.65
Be 0.8223 0.1592 0.4912  8 Au 2.44-2.65
Be 0.5000 0.5000 0.5000  8 Au 2.50-2.64
Be 0.1777 0.8408 0.5088  8 Au 2.44-2.65
Be 0.5000 0.0000 0.0000  8 Au 2.50-2.64

Values from the calculation:
Energy relative to the elements ... -0.07 eV/atom